The following is a DFT calculation (PBE+U) of a relaxed structure of AlVBr2O.

Results
* final energy: -15.52 eV/cell
* symmetry: P4/mmm

a b c (Å): 4.8803 4.8803 5.6929
angles (deg): 90.00 90.00 90.00
With the nearest neighbours (Å) after each atom.
Fractional positions:
Al 0.0000 0.0000 0.0000  4 Br 2.44
V 0.0000 0.0000 0.5000  2 Al 2.85
Br 0.0000 0.5000 0.0000  2 Al 2.44
Br 0.5000 0.0000 0.0000  2 Al 2.44
O 0.5000 0.5000 0.5000  4 V 3.45, 8 Br 3.75